# 1
This record from Alexandria via LeMat-Bulk describes a relaxed K2LaCdS crystal. The functional is PBE-GGA.

Results
energy relative to the elements, uncorrected: 0.45 eV per formula unit
total moment: 1.52 μB/cell

The structure in extended XYZ format:
```
5
Lattice="5.891 0.000 0.000 0.000 5.891 0.000 0.000 0.000 5.541" Properties=species:S:1:pos:R:3 pbc="T T T"
K 0.000 2.946 0.000
K 2.946 0.000 0.000
La 0.000 0.000 2.771
Cd 2.946 2.946 2.771
S 2.946 2.946 0.000
```

***

# 2
This record from Alexandria via LeMat-Bulk describes a relaxed KLaScCd2 crystal. The functional is PBE-GGA.

Results
formation energy: 12.1 kcal/mol of atoms
total moment: 0.00 μB/cell

The structure in extended XYZ format:
```
5
Lattice="5.473 0.000 0.000 0.000 5.473 0.000 0.000 0.000 5.418" Properties=species:S:1:pos:R:3 pbc="T T T"
K 0.000 0.000 0.000
La 2.737 2.737 0.000
Sc 0.000 0.000 2.709
Cd 0.000 2.737 2.709
Cd 2.737 0.000 2.709
```

***

# 3
This record from Alexandria via LeMat-Bulk describes a relaxed KLa2ScCd crystal. The functional is PBE-GGA.

Results
formation energy: 10.4 kcal/mol of atoms
total moment: 0.37 μB/cell

The structure in extended XYZ format:
```
5
Lattice="5.832 0.000 0.000 0.000 5.832 0.000 0.000 0.000 5.754" Properties=species:S:1:pos:R:3 pbc="T T T"
K 0.000 0.000 0.000
La 0.000 2.916 2.877
La 2.916 0.000 2.877
Sc 2.916 2.916 2.877
Cd 2.916 2.916 0.000
```

***

# 4
This record from Alexandria via LeMat-Bulk describes a relaxed KLaCdSe3 crystal. The functional is PBE-GGA.

Results
energy relative to the elements, uncorrected: -8.30 eV per formula unit
total moment: 0.00 μB/cell

The structure in extended XYZ format:
```
12
Lattice="9.139 0.000 0.000 0.000 4.425 0.000 -2.590 0.000 10.019" Properties=species:S:1:pos:R:3 pbc="T T T"
K 1.261 1.106 2.186
K 5.288 3.319 7.834
La 0.796 3.319 8.568
La 5.753 1.106 1.451
Cd -0.791 1.106 6.073
Cd 7.340 3.319 3.946
Se -1.300 1.106 8.652
Se 0.612 3.319 5.338
Se 3.730 3.319 1.506
Se 2.819 1.106 8.513
Se 5.936 1.106 4.681
Se 7.848 3.319 1.367
```

***

# 5
This record from Alexandria via LeMat-Bulk describes a relaxed K2LaCd2Se4 crystal. The functional is PBE-GGA.

Results
energy relative to the elements, uncorrected: -10.13 eV per formula unit
total moment: 0.00 μB/cell

The structure in extended XYZ format:
```
9
Lattice="8.412 -2.156 0.000 8.412 2.156 0.000 -3.346 0.000 7.671" Properties=species:S:1:pos:R:3 pbc="T T T"
K 1.919 0.000 0.461
K 11.559 0.000 7.211
La -1.673 0.000 3.836
Cd 3.620 0.000 3.710
Cd 9.857 0.000 3.961
Se 0.839 0.000 5.584
Se 5.539 0.000 5.614
Se 7.938 0.000 2.057
Se 12.638 0.000 2.087
```

***

# 6
This record from Alexandria via LeMat-Bulk describes a relaxed KLaCdSn2 crystal. The functional is PBE-GGA.

Results
formation energy: 4.1 kcal/mol of atoms
total moment: 0.00 μB/cell

The structure in extended XYZ format:
```
5
Lattice="5.612 0.000 0.000 0.000 5.612 0.000 0.000 0.000 5.511" Properties=species:S:1:pos:R:3 pbc="T T T"
K 0.000 0.000 0.000
La 2.806 2.806 0.000
Cd 0.000 0.000 2.756
Sn 0.000 2.806 2.756
Sn 2.806 0.000 2.756
```

***

# 7
This record from Alexandria via LeMat-Bulk describes a relaxed KLi2Cd crystal. The functional is PBE-GGA.

Results
formation energy: 2.1 kcal/mol of atoms
total moment: 0.00 μB/cell

The structure in extended XYZ format:
```
16
Lattice="7.829 0.000 0.000 0.000 7.829 0.000 0.000 0.000 7.829" Properties=species:S:1:pos:R:3 pbc="T T T"
K 0.000 0.000 0.000
K 0.000 3.914 3.914
K 3.914 0.000 3.914
K 3.914 3.914 0.000
Li 0.000 0.000 3.914
Li 0.000 3.914 0.000
Li 1.957 1.957 1.957
Li 1.957 5.872 5.872
Li 3.914 0.000 0.000
Li 3.914 3.914 3.914
Li 5.872 1.957 5.872
Li 5.872 5.872 1.957
Cd 1.957 1.957 5.872
Cd 1.957 5.872 1.957
Cd 5.872 1.957 1.957
Cd 5.872 5.872 5.872
```

***

# 8
This record from Alexandria via LeMat-Bulk describes a relaxed KLi2Cd crystal. The functional is PBE-GGA.

Results
formation energy: 1.9 kcal/mol of atoms
total moment: 0.00 μB/cell

The structure in extended XYZ format:
```
8
Lattice="4.896 0.000 0.000 0.000 4.896 0.000 0.000 0.000 9.762" Properties=species:S:1:pos:R:3 pbc="T T T"
K 0.000 0.000 0.000
K 2.448 2.448 4.881
Li 0.000 0.000 4.881
Li 0.000 2.448 7.322
Li 2.448 0.000 2.441
Li 2.448 2.448 0.000
Cd 0.000 2.448 2.441
Cd 2.448 0.000 7.322
```

***

# 9
This record from Alexandria via LeMat-Bulk describes a relaxed KLi2Cd crystal. The functional is PBE-GGA.

Results
formation energy: 0.0 kcal/mol of atoms
total moment: 0.00 μB/cell

The structure in extended XYZ format:
```
8
Lattice="9.656 0.000 0.000 0.000 3.657 0.000 -1.303 0.000 6.773" Properties=species:S:1:pos:R:3 pbc="T T T"
K 0.000 0.000 0.000
K 4.828 1.829 0.000
Li 1.333 0.000 4.359
Li 2.192 1.829 2.414
Li 6.161 1.829 4.359
Li 7.020 0.000 2.414
Cd -0.651 1.829 3.386
Cd 4.176 0.000 3.386
```

***

# 10
This record from Alexandria via LeMat-Bulk describes a relaxed KLi3Cd crystal. The functional is PBE-GGA.

Results
formation energy: 15.1 kcal/mol of atoms
total moment: 0.00 μB/cell
relative energy among the computed polymorphs: 597.9 meV per atom

The structure in extended XYZ format:
```
5
Lattice="5.456 0.000 0.000 0.000 5.456 0.000 0.000 0.000 5.456" Properties=species:S:1:pos:R:3 pbc="T T T"
K 0.000 0.000 0.000
Li 0.000 0.000 2.728
Li 0.000 2.728 0.000
Li 2.728 0.000 0.000
Cd 2.728 2.728 2.728
```

***

# 11
This record from Alexandria via LeMat-Bulk describes a relaxed KLi4Cd5 crystal. The functional is PBE-GGA.

Results
formation energy: -4.3 kcal/mol of atoms
total moment: 0.00 μB/cell

The structure in extended XYZ format:
```
10
Lattice="3.468 0.000 0.000 0.000 3.468 0.000 0.000 0.000 18.018" Properties=species:S:1:pos:R:3 pbc="T T T"
K 0.000 0.000 0.000
Li 0.000 0.000 4.288
Li 0.000 0.000 7.421
Li 0.000 0.000 10.597
Li 0.000 0.000 13.730
Cd 1.734 1.734 2.750
Cd 1.734 1.734 5.853
Cd 1.734 1.734 9.009
Cd 1.734 1.734 12.165
Cd 1.734 1.734 15.268
```

***

# 12
This record from Alexandria via LeMat-Bulk describes a relaxed KLi2Cd crystal. The functional is PBE-GGA.

Results
formation energy: 1.6 kcal/mol of atoms
total moment: 0.00 μB/cell

The structure in extended XYZ format:
```
8
Lattice="3.524 0.000 0.000 0.000 5.703 0.000 0.000 0.000 11.305" Properties=species:S:1:pos:R:3 pbc="T T T"
K 0.000 0.000 0.000
K 1.762 2.851 5.652
Li 0.000 0.000 5.909
Li 0.000 2.851 8.905
Li 1.762 0.000 3.253
Li 1.762 2.851 0.257
Cd 0.000 2.851 2.518
Cd 1.762 0.000 8.171
```

***

# 13
This record from Alexandria via LeMat-Bulk describes a relaxed KLiCd11 crystal. The functional is PBE-GGA.

Results
formation energy: -1.8 kcal/mol of atoms
total moment: 0.00 μB/cell

The structure in extended XYZ format:
```
13
Lattice="2.971 -7.191 0.000 2.971 7.191 0.000 -2.940 0.000 7.232" Properties=species:S:1:pos:R:3 pbc="T T T"
K 0.000 0.000 0.000
Li -1.470 0.000 3.616
Cd 1.486 3.595 0.000
Cd 0.128 4.695 4.653
Cd -0.032 1.533 5.624
Cd 2.875 4.695 2.579
Cd -0.032 -1.533 5.624
Cd 1.486 -3.595 0.000
Cd 1.501 0.000 3.616
Cd 3.034 1.533 1.608
Cd 0.128 -4.695 4.653
Cd 3.034 -1.533 1.608
Cd 2.875 -4.695 2.579
```

***

# 14
This record from Alexandria via LeMat-Bulk describes a relaxed KLiCd3 crystal. The functional is PBE-GGA.

Results
formation energy: 12.8 kcal/mol of atoms
total moment: 0.00 μB/cell
relative energy among the computed polymorphs: 692.3 meV per atom

The structure in extended XYZ format:
```
5
Lattice="6.278 0.000 0.000 0.000 6.278 0.000 0.000 0.000 6.278" Properties=species:S:1:pos:R:3 pbc="T T T"
K 0.000 0.000 0.000
Li 3.139 3.139 3.139
Cd 0.000 0.000 3.139
Cd 0.000 3.139 0.000
Cd 3.139 0.000 0.000
```

***

# 15
This record from Alexandria via LeMat-Bulk describes a relaxed KLi2Cd crystal. The functional is PBE-GGA.

Results
formation energy: 0.0 kcal/mol of atoms
total moment: 0.00 μB/cell

The structure in extended XYZ format:
```
4
Lattice="3.759 0.000 0.000 0.000 3.759 0.000 0.000 0.000 8.367" Properties=species:S:1:pos:R:3 pbc="T T T"
K 0.000 0.000 0.000
Li 0.000 0.000 4.577
Li 1.880 1.880 2.946
Cd 1.880 1.880 5.751
```

***

# 16
This record from Alexandria via LeMat-Bulk describes a relaxed KLi3Cd crystal. The functional is PBE-GGA.

Results
formation energy: 1.3 kcal/mol of atoms
total moment: 0.00 μB/cell
relative energy among the computed polymorphs: 0.0 meV per atom

The structure in extended XYZ format:
```
5
Lattice="5.414 0.000 0.000 0.000 5.414 0.000 0.000 0.000 5.414" Properties=species:S:1:pos:R:3 pbc="T T T"
K 0.000 0.000 0.000
Li 0.000 2.707 2.707
Li 2.707 0.000 2.707
Li 2.707 2.707 0.000
Cd 2.707 2.707 2.707
```

***

# 17
This record from Alexandria via LeMat-Bulk describes a relaxed KLi2Cd crystal. The functional is PBE-GGA.

Results
formation energy: 2.7 kcal/mol of atoms
total moment: 0.00 μB/cell

The structure in extended XYZ format:
```
8
Lattice="6.858 0.000 0.000 0.000 10.743 0.000 -1.617 0.000 3.143" Properties=species:S:1:pos:R:3 pbc="T T T"
K 0.000 0.000 0.000
K 3.429 5.372 0.000
Li 0.906 2.686 1.571
Li 0.906 8.058 1.571
Li 4.335 2.686 1.571
Li 4.335 8.058 1.571
Cd 0.000 5.372 0.000
Cd 3.429 0.000 0.000
```

***

# 18
This record from Alexandria via LeMat-Bulk describes a relaxed K3Li2Cd7 crystal. The functional is PBE-GGA.

Results
formation energy: -2.8 kcal/mol of atoms
total moment: 0.00 μB/cell

The structure in extended XYZ format:
```
12
Lattice="3.127 1.805 9.966 -3.127 1.805 9.966 0.000 -3.611 9.966" Properties=species:S:1:pos:R:3 pbc="T T T"
K 0.000 0.000 0.000
K 0.000 0.000 4.270
K 0.000 0.000 25.629
Li 0.000 0.000 9.932
Li 0.000 0.000 19.967
Cd -1.560 -0.901 12.307
Cd 0.000 -1.801 17.593
Cd -1.560 0.901 17.593
Cd 0.000 0.000 14.950
Cd 1.560 -0.901 12.307
Cd 0.000 1.801 12.307
Cd 1.560 0.901 17.593
```

***

# 19
This record from Alexandria via LeMat-Bulk describes a relaxed KLi2Cd9 crystal. The functional is PBE-GGA.

Results
formation energy: -3.2 kcal/mol of atoms
total moment: 0.00 μB/cell
relative energy among the computed polymorphs: 0.0 meV per atom

The structure in extended XYZ format:
```
24
Lattice="-6.015 6.015 3.891 6.015 -6.015 3.891 6.015 6.015 -3.891" Properties=species:S:1:pos:R:3 pbc="T T T"
K 6.015 3.007 0.973
K 0.000 3.007 2.918
Li 0.000 0.000 0.000
Li 3.007 3.007 -1.945
Li 3.007 -3.007 1.945
Li 0.000 6.015 0.000
Cd 6.015 -3.007 2.918
Cd 4.564 -0.550 1.444
Cd 7.466 -0.550 1.444
Cd 2.457 1.556 0.501
Cd 9.573 1.556 0.501
Cd 4.564 5.464 -1.444
Cd 1.451 -0.550 2.447
Cd 2.457 4.459 0.501
Cd 3.558 -1.556 4.392
Cd 2.457 7.571 -0.501
Cd 3.558 1.556 3.390
Cd 4.564 6.565 1.444
Cd 1.451 0.550 5.335
Cd -3.558 4.459 3.390
Cd 3.558 4.459 3.390
Cd -1.451 6.565 2.447
Cd 1.451 6.565 2.447
Cd 0.000 9.022 0.973
```

***

# 20
This record from Alexandria via LeMat-Bulk describes a relaxed KLi2Cd crystal. The functional is PBE-GGA.

Results
formation energy: 0.9 kcal/mol of atoms
total moment: 0.00 μB/cell

The structure in extended XYZ format:
```
8
Lattice="3.461 0.000 0.000 0.000 6.117 0.000 0.000 0.000 11.342" Properties=species:S:1:pos:R:3 pbc="T T T"
K 0.000 0.000 0.000
K 1.730 3.058 5.671
Li 0.000 3.058 2.348
Li 0.000 3.058 8.994
Li 1.730 0.000 3.323
Li 1.730 0.000 8.019
Cd 0.000 0.000 5.671
Cd 1.730 3.058 0.000
```